Entry 1:
Entry from Alexandria: a geometry-optimized Tb2VIn structure (GGA-PBE).

Geometry as POSCAR:
```
Tb2VIn
1.0
3.318 0.000 0.000
1.659 2.873 0.000
1.659 0.958 11.099
Tb In V
2 1 1
direct
0.915 0.915 0.256
0.085 0.085 0.744
0.500 0.500 0.500
0.000 0.000 0.000
```

Output
ΔH_f (0 K) (eV/atom): 0.47
Density of states at the Fermi level (states/eV per cell): 5.29
Final energy (eV for the cell shown): -19.22

Entry 2:
Entry from Alexandria: a geometry-optimized Tb4Y7In structure (GGA-PBE).

Geometry as POSCAR:
```
Tb4Y7In
1.0
5.634 0.000 1.531
2.406 5.856 2.278
-0.143 -1.637 11.657
Y Tb In
7 4 1
direct
0.202 0.513 0.083
0.798 0.487 0.917
0.367 0.793 0.474
0.896 0.932 0.275
0.633 0.207 0.526
0.104 0.068 0.725
0.500 0.000 0.000
0.863 0.657 0.618
0.137 0.343 0.382
0.621 0.528 0.231
0.379 0.472 0.769
0.000 0.000 0.000
```

Output
ΔH_f (0 K) (eV/atom): 0.18
Density of states at the Fermi level (states/eV per cell): 21.33
Excess energy over the best structure of this formula in the dataset (meV per atom): 40
Final energy (eV for the cell shown): -64.41

Entry 3:
Entry from Alexandria: a geometry-optimized TbYIn2 structure (GGA-PBE).

Geometry as POSCAR:
```
TbYIn2
1.0
-3.217 -1.791 0.437
-1.110 -2.463 -2.539
3.144 -8.472 4.139
Tb In Y
1 2 1
direct
0.000 0.000 0.000
0.250 0.250 0.251
0.750 0.750 0.749
0.500 0.500 0.500
```

Output
ΔH_f (0 K) (eV/atom): -0.34
Density of states at the Fermi level (states/eV per cell): 2.02
Final energy (eV for the cell shown): -17.94

Entry 4:
Entry from Alexandria: a geometry-optimized Tb2Y3In2 structure (GGA-PBE).

Geometry as POSCAR:
```
Tb2Y3In2
1.0
-1.625 4.993 -1.285
-3.643 -3.917 0.750
2.570 2.820 7.734
Y Tb In
3 2 2
direct
0.347 0.694 0.541
0.500 0.000 0.000
0.653 0.306 0.459
0.077 0.153 0.729
0.923 0.847 0.271
0.217 0.434 0.151
0.783 0.566 0.849
```

Output
ΔH_f (0 K) (eV/atom): -0.29
Density of states at the Fermi level (states/eV per cell): 5.36
Excess energy over the best structure of this formula in the dataset (meV per atom): 0
Final energy (eV for the cell shown): -36.13